(1)
! SrRhF2 PBE-GGA optimized geometry; values from VASP
! E_form (uncorrected): -1.71 eV per atom
! energy: -19.62 eV per cell
! space group: No. 166
! ρ: 5.011 g/cm³
&SYSTEM
  ibrav = 0, nat = 4, ntyp = 3
/
ATOMIC_SPECIES
Sr 87.62 Sr.upf
Rh 102.91 Rh.upf
F 19.00 F.upf
CELL_PARAMETERS angstrom
2.218 0.000 5.926
-1.109 1.921 5.926
-1.109 -1.921 5.926
ATOMIC_POSITIONS angstrom
Sr 0.000 0.000 0.000
Rh 0.000 0.000 8.888
F 0.000 0.000 12.867
F 0.000 0.000 4.909

(2)
! TlGa PBE-GGA optimized geometry; values from VASP
! formation enthalpy at 0 K: 421 meV/atom
! energy: -27.30 eV per cell
! space group: No. 223
! ρ: 5.398 g/cm³
&SYSTEM
  ibrav = 0, nat = 12, ntyp = 2
/
ATOMIC_SPECIES
Tl 204.38 Tl.upf
Ga 69.72 Ga.upf
CELL_PARAMETERS angstrom
7.968 0.000 0.000
0.000 7.968 0.000
0.000 0.000 7.968
ATOMIC_POSITIONS angstrom
Tl 1.992 3.984 0.000
Tl 5.976 3.984 0.000
Tl 3.984 0.000 1.992
Tl 3.984 0.000 5.976
Tl 0.000 1.992 3.984
Tl 0.000 5.976 3.984
Ga 1.992 0.000 3.984
Ga 5.976 0.000 3.984
Ga 0.000 3.984 1.992
Ga 0.000 3.984 5.976
Ga 3.984 1.992 0.000
Ga 3.984 5.976 0.000

(3)
! Sb5W PBE-GGA optimized geometry; values from VASP
! E_form (uncorrected): 1.15 eV per atom
! energy: -26.66 eV per cell
! space group: No. 216
! ρ: 8.128 g/cm³
&SYSTEM
  ibrav = 0, nat = 6, ntyp = 2
/
ATOMIC_SPECIES
Sb 121.76 Sb.upf
W 183.84 W.upf
CELL_PARAMETERS angstrom
-3.082 -3.944 3.517
-5.016 1.836 2.983
-5.508 -2.005 -1.754
ATOMIC_POSITIONS angstrom
Sb -3.402 -1.028 1.187
Sb -8.505 -2.571 2.967
Sb -5.749 -1.568 3.845
Sb -6.963 -0.598 1.208
Sb -5.996 -3.489 1.475
W 0.000 0.000 0.000

(4)
! TeIrAu2 PBE-GGA optimized geometry; values from VASP
! E_form (uncorrected): 0.54 eV per atom
! energy: -16.41 eV per cell
! space group: No. 65
! ρ: 15.028 g/cm³
&SYSTEM
  ibrav = 0, nat = 4, ntyp = 3
/
ATOMIC_SPECIES
Au 196.97 Au.upf
Ir 192.22 Ir.upf
Te 127.60 Te.upf
CELL_PARAMETERS angstrom
-2.847 -1.113 -0.164
2.446 -1.380 -1.219
1.474 -5.048 8.670
ATOMIC_POSITIONS angstrom
Au 0.030 -0.103 0.176
Au 0.707 -2.422 4.159
Ir 0.168 -2.508 1.476
Te 0.905 -5.033 5.811

(5)
! SbSeCl2 PBE-GGA optimized geometry; values from VASP
! E_form (uncorrected): -0.25 eV per atom
! energy: -12.29 eV per cell
! space group: No. 44
! ρ: 3.883 g/cm³
&SYSTEM
  ibrav = 0, nat = 4, ntyp = 3
/
ATOMIC_SPECIES
Sb 121.76 Sb.upf
Se 78.96 Se.upf
Cl 35.45 Cl.upf
CELL_PARAMETERS angstrom
7.111 0.071 0.011
4.490 5.514 -0.011
-5.608 -3.192 2.988
ATOMIC_POSITIONS angstrom
Sb 4.855 2.337 0.000
Se 2.660 2.711 1.489
Cl 0.141 0.068 0.000
Cl 4.138 0.070 1.499

(6)
! Ce2TmMoN5 PBE-GGA optimized geometry; values from VASP
! E_form (uncorrected): -1.20 eV per atom
! energy: -159.13 eV per cell
! space group: No. 36
! ρ: 8.346 g/cm³
&SYSTEM
  ibrav = 0, nat = 18, ntyp = 4
/
ATOMIC_SPECIES
Ce 140.12 Ce.upf
Tm 168.93 Tm.upf
Mo 95.94 Mo.upf
N 14.01 N.upf
CELL_PARAMETERS angstrom
-1.211 3.145 -0.728
1.045 -2.964 -6.379
-9.612 -3.672 0.132
ATOMIC_POSITIONS angstrom
Ce -7.949 -2.338 -5.036
Ce -6.527 -2.847 -1.437
Ce -2.721 -1.494 -1.927
Ce -2.086 -0.199 -5.554
Tm -5.203 -1.086 -4.199
Tm 0.139 -0.604 -2.841
Mo -9.827 -2.018 -0.527
Mo -4.014 -3.026 -6.392
N 0.262 -1.066 -5.041
N -8.773 -2.086 -2.577
N -7.104 -4.226 -6.434
N -6.186 -3.244 -3.717
N -5.461 -1.709 -6.459
N -5.367 -0.640 -1.998
N -3.225 -2.254 -4.368
N -3.316 0.489 -0.533
N -2.042 0.344 -3.279
N -0.414 -0.291 -0.570

(7)
! ZrFe2Pt PBE-GGA optimized geometry; values from VASP
! formation enthalpy at 0 K: 10 meV/atom
! energy: -31.48 eV per cell
! space group: No. 160
! ρ: 10.590 g/cm³
&SYSTEM
  ibrav = 0, nat = 4, ntyp = 3
/
ATOMIC_SPECIES
Fe 55.84 Fe.upf
Pt 195.08 Pt.upf
Zr 91.22 Zr.upf
CELL_PARAMETERS angstrom
-5.458 -2.247 -6.521
-3.017 -1.931 -8.033
-3.578 -4.432 -6.702
ATOMIC_POSITIONS angstrom
Fe -11.944 -8.533 -21.066
Fe -3.080 -2.201 -5.433
Pt -6.106 -4.362 -10.770
Zr -9.000 -6.430 -15.874

(8)
! BaSc PBE-GGA optimized geometry; values from VASP
! formation enthalpy at 0 K: 339 meV/atom
! energy: -15.15 eV per cell
! space group: No. 164
! ρ: 4.027 g/cm³
&SYSTEM
  ibrav = 0, nat = 4, ntyp = 2
/
ATOMIC_SPECIES
Ba 137.33 Ba.upf
Sc 44.96 Sc.upf
CELL_PARAMETERS angstrom
-0.779 3.646 -0.584
-1.269 -1.726 3.106
10.199 3.123 5.903
ATOMIC_POSITIONS angstrom
Ba 9.889 3.028 5.724
Ba 1.917 2.730 2.301
Sc 5.410 1.657 3.131
Sc 6.397 4.102 4.893

(9)
! Cr2B2Rh PBE-GGA optimized geometry; values from VASP
! formation enthalpy at 0 K: -293 meV/atom
! energy: -82.84 eV per cell
! space group: No. 127
! ρ: 7.859 g/cm³
&SYSTEM
  ibrav = 0, nat = 10, ntyp = 3
/
ATOMIC_SPECIES
Cr 52.00 Cr.upf
B 10.81 B.upf
Rh 102.91 Rh.upf
CELL_PARAMETERS angstrom
-4.237 -3.221 1.784
3.326 -2.183 3.959
-0.862 2.209 1.942
ATOMIC_POSITIONS angstrom
Cr 1.080 -0.891 3.912
Cr -0.489 -2.862 5.458
Cr -2.852 -2.303 3.773
Cr -1.283 -0.332 2.227
B 1.311 -3.180 4.200
B -1.716 -4.195 4.010
B -2.222 -2.223 1.543
B 0.806 -1.209 1.733
Rh 0.000 0.000 0.000
Rh -0.455 -2.702 2.872

(10)
! RbBeSnBr2 PBE-GGA optimized geometry; values from VASP
! E_form (uncorrected): -0.39 eV per atom
! energy: -13.99 eV per cell
! space group: No. 123
! ρ: 4.011 g/cm³
&SYSTEM
  ibrav = 0, nat = 5, ntyp = 4
/
ATOMIC_SPECIES
Be 9.01 Be.upf
Br 79.90 Br.upf
Sn 118.71 Sn.upf
Rb 85.47 Rb.upf
CELL_PARAMETERS angstrom
5.748 0.000 0.000
0.000 4.675 0.000
0.000 0.000 5.748
ATOMIC_POSITIONS angstrom
Be 0.000 0.000 0.000
Br 0.000 0.000 2.874
Br 2.874 0.000 0.000
Sn 0.000 2.337 0.000
Rb 2.874 2.337 2.874

(11)
! PdAu3N PBE-GGA optimized geometry; values from VASP
! E_form (uncorrected): 1.81 eV per atom
! energy: -14.29 eV per cell
! space group: No. 221
! ρ: 8.803 g/cm³
&SYSTEM
  ibrav = 0, nat = 5, ntyp = 3
/
ATOMIC_SPECIES
Au 196.97 Au.upf
Pd 106.42 Pd.upf
N 14.01 N.upf
CELL_PARAMETERS angstrom
5.119 0.000 0.000
0.000 5.119 0.000
0.000 0.000 5.119
ATOMIC_POSITIONS angstrom
Au 0.000 2.560 0.000
Au 0.000 0.000 2.560
Au 2.560 0.000 0.000
Pd 0.000 0.000 0.000
N 2.560 2.560 2.560

(12)
! LaDyTm2 PBE-GGA optimized geometry; values from VASP
! formation enthalpy at 0 K: 26 meV/atom
! energy: -18.37 eV per cell
! space group: No. 166
! ρ: 8.317 g/cm³
&SYSTEM
  ibrav = 0, nat = 4, ntyp = 3
/
ATOMIC_SPECIES
Tm 168.93 Tm.upf
La 138.91 La.upf
Dy 162.50 Dy.upf
CELL_PARAMETERS angstrom
-2.462 -1.897 1.762
0.663 -1.141 3.320
-5.076 8.745 5.941
ATOMIC_POSITIONS angstrom
Tm -5.131 4.227 8.245
Tm -1.743 1.481 2.779
La 0.000 0.000 0.000
Dy -3.437 2.854 5.512

(13)
! AlSi2W PBE-GGA optimized geometry; values from VASP
! E_form (uncorrected): 0.24 eV per atom
! energy: -26.56 eV per cell
! space group: No. 47
! ρ: 7.759 g/cm³
&SYSTEM
  ibrav = 0, nat = 4, ntyp = 3
/
ATOMIC_SPECIES
Si 28.09 Si.upf
Al 26.98 Al.upf
W 183.84 W.upf
CELL_PARAMETERS angstrom
-2.438 -2.162 0.283
0.519 -1.125 -4.112
2.666 -2.861 1.119
ATOMIC_POSITIONS angstrom
Si 0.000 0.000 0.000
Si -0.960 -1.643 -1.915
Al 1.593 -1.993 -1.497
W 0.114 -2.511 0.701

(14)
! SrLiCaAg PBE-GGA optimized geometry; values from VASP
! formation enthalpy at 0 K: -162 meV/atom
! energy: -9.10 eV per cell
! space group: No. 38
! ρ: 3.200 g/cm³
&SYSTEM
  ibrav = 0, nat = 4, ntyp = 4
/
ATOMIC_SPECIES
Sr 87.62 Sr.upf
Li 6.94 Li.upf
Ca 40.08 Ca.upf
Ag 107.87 Ag.upf
CELL_PARAMETERS angstrom
4.490 0.000 0.000
0.000 4.591 0.000
-2.245 0.000 6.104
ATOMIC_POSITIONS angstrom
Sr 2.245 2.295 4.325
Li 2.245 2.295 0.781
Ca 0.000 0.000 1.731
Ag 0.000 0.000 5.372

(15)
! Cs3Ca2SnBr9 PBE-GGA optimized geometry; values from VASP
! E_form (uncorrected): -1.71 eV per atom
! energy: -51.31 eV per cell
! space group: No. 164
! ρ: 3.695 g/cm³
&SYSTEM
  ibrav = 0, nat = 15, ntyp = 4
/
ATOMIC_SPECIES
Cs 132.91 Cs.upf
Ca 40.08 Ca.upf
Sn 118.71 Sn.upf
Br 79.90 Br.upf
CELL_PARAMETERS angstrom
-7.294 3.704 -0.876
2.541 -2.370 7.458
4.400 8.984 1.355
ATOMIC_POSITIONS angstrom
Cs 2.186 5.625 5.580
Cs 0.000 0.000 0.000
Cs -2.539 4.694 2.357
Ca -0.026 1.107 4.899
Ca -0.327 9.211 3.038
Sn 2.200 4.492 0.678
Br -2.681 8.696 1.443
Br -1.431 7.529 5.113
Br 0.909 6.873 1.874
Br -1.262 3.446 6.063
Br 1.077 2.789 2.824
Br 2.328 1.623 6.494
Br -3.647 1.852 -0.438
Br 1.270 -1.185 3.729
Br -2.376 0.667 3.291

(16)
! Cd2Si2Bi PBE-GGA optimized geometry; values from VASP
! E_form (uncorrected): 0.42 eV per atom
! energy: -28.94 eV per cell
! space group: No. 127
! ρ: 7.219 g/cm³
&SYSTEM
  ibrav = 0, nat = 10, ntyp = 3
/
ATOMIC_SPECIES
Si 28.09 Si.upf
Bi 208.98 Bi.upf
Cd 112.41 Cd.upf
CELL_PARAMETERS angstrom
-5.027 6.583 -1.091
-0.545 -1.766 -8.147
-2.571 -1.868 0.577
ATOMIC_POSITIONS angstrom
Si -2.085 0.684 -7.079
Si -4.516 4.242 -6.396
Si -3.486 4.133 -2.159
Si -1.055 0.575 -2.841
Bi 0.000 0.000 0.000
Bi -2.786 2.408 -4.619
Cd -2.268 -1.203 -4.962
Cd -4.915 1.655 -7.505
Cd -5.875 4.152 -3.699
Cd -3.228 1.294 -1.156

(17)
! HfPaSb2 PBE-GGA optimized geometry; values from VASP
! E_form (uncorrected): 0.06 eV per atom
! energy: -27.46 eV per cell
! space group: No. 166
! ρ: 10.571 g/cm³
&SYSTEM
  ibrav = 0, nat = 4, ntyp = 3
/
ATOMIC_SPECIES
Sb 121.76 Sb.upf
Pa 231.04 Pa.upf
Hf 178.49 Hf.upf
CELL_PARAMETERS angstrom
-1.045 -2.387 -1.927
1.341 -2.944 0.195
-7.512 -4.728 7.208
ATOMIC_POSITIONS angstrom
Sb -5.520 -3.955 5.169
Sb -1.697 -6.103 0.306
Pa -3.608 -5.029 2.738
Hf 0.000 0.000 0.000

(18)
! TlCoW3 PBE-GGA optimized geometry; values from VASP
! formation enthalpy at 0 K: 3647 meV/atom
! energy: -30.09 eV per cell
! space group: No. 221
! ρ: 11.477 g/cm³
&SYSTEM
  ibrav = 0, nat = 5, ntyp = 3
/
ATOMIC_SPECIES
Tl 204.38 Tl.upf
Co 58.93 Co.upf
W 183.84 W.upf
CELL_PARAMETERS angstrom
4.903 0.000 0.000
0.000 4.903 0.000
0.000 0.000 4.903
ATOMIC_POSITIONS angstrom
Tl 0.000 0.000 0.000
Co 2.452 2.452 2.452
W 0.000 2.452 0.000
W 0.000 0.000 2.452
W 2.452 0.000 0.000

(19)
! PuUMnFe PBE-GGA optimized geometry; values from VASP
! formation enthalpy at 0 K: -76 meV/atom
! energy: -43.56 eV per cell
! space group: No. 216
! ρ: 15.636 g/cm³
&SYSTEM
  ibrav = 0, nat = 4, ntyp = 4
/
ATOMIC_SPECIES
Mn 54.94 Mn.upf
U 238.03 U.upf
Fe 55.84 Fe.upf
Pu 244.00 Pu.upf
CELL_PARAMETERS angstrom
4.465 0.000 0.000
2.233 3.867 0.000
2.233 1.289 3.646
ATOMIC_POSITIONS angstrom
Mn 4.465 2.578 1.823
U 6.698 3.867 2.734
Fe 2.233 1.289 0.911
Pu 0.000 0.000 0.000

(20)
! ZrTe4As PBE-GGA optimized geometry; values from VASP
! E_form (uncorrected): -0.36 eV per atom
! energy: -27.94 eV per cell
! space group: No. 10
! ρ: 5.942 g/cm³
&SYSTEM
  ibrav = 0, nat = 6, ntyp = 3
/
ATOMIC_SPECIES
Zr 91.22 Zr.upf
Te 127.60 Te.upf
As 74.92 As.upf
CELL_PARAMETERS angstrom
-0.180 0.988 3.667
-1.743 -6.324 1.619
7.089 -1.798 0.832
ATOMIC_POSITIONS angstrom
Zr 3.455 -0.405 2.249
Te 3.555 -5.927 1.771
Te 5.288 -2.592 2.929
Te -0.121 -4.541 3.189
Te 1.792 -2.195 0.679
As 0.000 0.000 0.000